A plane-wave DFT calculation with GGA-PBE was carried out for an optimized crystal structure of UAl2H6.

a b c (Å): 4.986 4.986 4.986
angles (deg): 60.00 60.00 60.00
Positions (direct):
H 0.285 0.715 0.285
H 0.715 0.285 0.285
H 0.285 0.715 0.715
H 0.715 0.285 0.715
H 0.715 0.715 0.285
H 0.285 0.285 0.715
U 0.000 0.000 0.000
Al 0.750 0.750 0.750
Al 0.250 0.250 0.250

Total DFT energy (no corrections) = -0.1394 hartree per atom
ρ = 5646 kg/m³